VASP calculation (PBE) on Pm5Dy3Mg after structural relaxation.

Results
- E (eV/atom) = -3.8003
- calculated formation energy (eV/atom) = 0.550

Unit cell a=10.012 b=10.012 c=9.103 alpha=58.86 beta=58.86 gamma=71.65
Fractional positions:
Mg: 0.866 0.866 0.408
Pm: 0.406 0.932 0.356
Dy: 0.300 0.300 0.621
Pm: 0.186 0.186 0.060
Mg: 0.134 0.134 0.592
Dy: 0.641 0.641 0.805
Dy: 0.700 0.700 0.379
Pm: 0.256 0.744 0.000
Dy: 0.000 0.000 0.500
Dy: 0.359 0.359 0.195
Dy: 0.000 0.000 0.000
Pm: 0.551 0.551 0.248
Pm: 0.744 0.256 0.000
Pm: 0.068 0.594 0.644
Pm: 0.814 0.814 0.940
Pm: 0.594 0.068 0.644
Pm: 0.449 0.449 0.752
Pm: 0.932 0.406 0.356